A plane-wave DFT calculation with GGA-PBE was carried out for a relaxed structure of MnCdBr2.

Cell: 7.018 7.018 7.018 Å, 117.58 117.58 94.24°
Element x y z (fractional)
Mn  0.000  0.000  0.000
Mn  0.750  0.250  0.500
Cd  0.250  0.750  0.500
Cd  0.500  0.500  0.000
Br  0.375  0.010  0.135
Br  0.760  0.625  0.635
Br  0.875  0.240  0.865
Br  0.990  0.125  0.365

* space-group type: I-42d, No. 122
* volume: 252.5 Å³ per cell
* M_tot: 0.0 μB per formula unit
* ΔE to the lowest computed polymorph: 695 meV/atom
* raw formation energy: 0.242 eV/atom

A plane-wave DFT calculation with GGA-PBE was carried out for a relaxed structure of Cs3Er2CdTe6.

Cell: 7.800 7.800 9.354 Å, 97.97 97.97 119.99°
Element x y z (fractional)
Cs  0.000  0.000  0.000
Cs  0.334  0.666  0.000
Cs  0.666  0.334  0.000
Er  0.167  0.833  0.500
Er  0.833  0.167  0.500
Cd  0.500  0.500  0.500
Te  0.101  0.437  0.312
Te  0.226  0.226  0.687
Te  0.437  0.101  0.312
Te  0.563  0.899  0.688
Te  0.774  0.774  0.313
Te  0.899  0.563  0.688

* space-group type: C2/m, No. 12
* volume: 473.6 Å³ per cell
* M_tot: 0.0 μB per formula unit
* raw formation energy: -1.042 eV/atom

A plane-wave DFT calculation with GGA-PBE was carried out for a relaxed structure of CrFeP2.

Cell: 4.240 4.240 4.058 Å, 103.72 103.72 40.19°
Element x y z (fractional)
Cr  0.000  0.000  0.000
Fe  0.777  0.777  0.401
P  0.268  0.268  0.891
P  0.510  0.510  0.519

* space-group type: Cm, No. 8
* volume: 45.5 Å³ per cell
* M_tot: 1.7 μB per formula unit
* ΔE to the lowest computed polymorph: 225 meV/atom
* energy of formation: -127.9 kJ/mol of formula units

> The highest M_tot belongs to which entry?

CrFeP2